Computed, not measured: a geometry-optimized NaPmEr2Hg4 structure at the PBE-GGA level of DFT.

Geometry as CIF:
```
data_NaPmEr2Hg4
_chemical_formula_sum 'Na1 Pm1 Er2 Hg4'
_space_group_name_H-M_alt 'P 1'
_space_group_IT_number 1
_space_group_name_Hall 'P 1'
_cell_length_a 5.203
_cell_length_b 5.203
_cell_length_c 9.210
_cell_angle_alpha 73.59
_cell_angle_beta 73.59
_cell_angle_gamma 60.00
loop_
_atom_site_label
_atom_site_type_symbol
_atom_site_fract_x
_atom_site_fract_y
_atom_site_fract_z
Hg1 Hg 0.379 0.379 0.864
Hg2 Hg 0.621 0.621 0.136
Hg3 Hg 0.125 0.125 0.624
Hg4 Hg 0.875 0.875 0.376
Er1 Er 0.755 0.755 0.736
Er2 Er 0.245 0.245 0.264
Pm1 Pm 0.000 0.000 0.000
Na1 Na 0.500 0.500 0.500
```

Values from the calculation:
calculated volume	204	Å³ per cell
formation energy from the elements	-3.2	eV per formula unit
total energy	-2.45	eV per atom

Computed, not measured: a geometry-optimized Al2VCdHg structure at the PBE-GGA level of DFT.

Geometry as CIF:
```
data_Al2VCdHg
_chemical_formula_sum 'Al2 V1 Cd1 Hg1'
_space_group_name_H-M_alt 'P 1'
_space_group_IT_number 1
_space_group_name_Hall 'P 1'
_cell_length_a 4.876
_cell_length_b 5.173
_cell_length_c 4.876
_cell_angle_alpha 90.00
_cell_angle_beta 90.00
_cell_angle_gamma 90.00
loop_
_atom_site_label
_atom_site_type_symbol
_atom_site_fract_x
_atom_site_fract_y
_atom_site_fract_z
Cd1 Cd 0.500 0.500 0.500
Al1 Al 0.500 0.000 0.000
Al2 Al 0.000 0.000 0.500
V1 V 0.000 0.500 0.000
Hg1 Hg 0.000 0.000 0.000
```

Values from the calculation:
calculated volume	123	Å³ per cell
formation energy from the elements	5.3	eV per formula unit
total energy	-2.50	eV per atom

Computed, not measured: a geometry-optimized LiZnRh2 structure at the PBE-GGA level of DFT.

Geometry as CIF:
```
data_LiZnRh2
_chemical_formula_sum 'Li1 Zn1 Rh2'
_space_group_name_H-M_alt 'P 1'
_space_group_IT_number 1
_space_group_name_Hall 'P 1'
_cell_length_a 2.685
_cell_length_b 2.685
_cell_length_c 8.983
_cell_angle_alpha 90.00
_cell_angle_beta 90.00
_cell_angle_gamma 117.95
loop_
_atom_site_label
_atom_site_type_symbol
_atom_site_fract_x
_atom_site_fract_y
_atom_site_fract_z
Rh1 Rh 0.500 0.500 0.252
Rh2 Rh 0.000 0.000 0.995
Li1 Li 0.500 0.500 0.757
Zn1 Zn 0.000 0.000 0.496
```

Values from the calculation:
calculated volume	57	Å³ per cell
formation energy from the elements	-0.1	eV per formula unit
total energy	-4.49	eV per atom

Computed, not measured: a geometry-optimized Na2TlCu structure at the PBE-GGA level of DFT.

Geometry as CIF:
```
data_Na2TlCu
_chemical_formula_sum 'Na2 Tl1 Cu1'
_space_group_name_H-M_alt 'P 1'
_space_group_IT_number 1
_space_group_name_Hall 'P 1'
_cell_length_a 5.152
_cell_length_b 5.152
_cell_length_c 5.152
_cell_angle_alpha 60.00
_cell_angle_beta 60.00
_cell_angle_gamma 60.00
loop_
_atom_site_label
_atom_site_type_symbol
_atom_site_fract_x
_atom_site_fract_y
_atom_site_fract_z
Cu1 Cu 0.000 0.000 0.000
Na1 Na 0.250 0.250 0.250
Na2 Na 0.750 0.750 0.750
Tl1 Tl 0.500 0.500 0.500
```

Values from the calculation:
calculated volume	97	Å³ per cell
formation energy from the elements	0.7	eV per formula unit
total energy	-2.10	eV per atom

Computed, not measured: a geometry-optimized Rb4Np3PbO12 structure at the PBE-GGA level of DFT.

Geometry as CIF:
```
data_Rb4Np3PbO12
_chemical_formula_sum 'Rb4 Np3 Pb1 O12'
_space_group_name_H-M_alt 'P 1'
_space_group_IT_number 1
_space_group_name_Hall 'P 1'
_cell_length_a 7.631
_cell_length_b 7.631
_cell_length_c 7.631
_cell_angle_alpha 109.47
_cell_angle_beta 109.47
_cell_angle_gamma 109.47
loop_
_atom_site_label
_atom_site_type_symbol
_atom_site_fract_x
_atom_site_fract_y
_atom_site_fract_z
Np1 Np 0.500 0.500 0.000
Np2 Np 0.000 0.500 0.500
Np3 Np 0.500 0.000 0.500
Pb1 Pb 0.000 0.000 0.000
O1 O 0.000 0.281 0.281
O2 O 0.500 0.750 0.250
O3 O 0.281 0.281 0.000
O4 O 0.281 0.000 0.281
O5 O 0.719 0.719 0.000
O6 O 0.750 0.500 0.250
O7 O 0.250 0.500 0.750
O8 O 0.000 0.719 0.719
O9 O 0.719 0.000 0.719
O10 O 0.750 0.250 0.500
O11 O 0.250 0.750 0.500
O12 O 0.500 0.250 0.750
Rb1 Rb 0.500 0.500 0.500
Rb2 Rb 0.000 0.000 0.500
Rb3 Rb 0.000 0.500 0.000
Rb4 Rb 0.500 0.000 0.000
```

Values from the calculation:
calculated volume	342	Å³ per cell
total energy	-7.71	eV per atom
raw formation energy	-2.420	eV/atom

Computed, not measured: a geometry-optimized Pr8As3SeI4 structure at the PBE-GGA level of DFT.

Geometry as CIF:
```
data_Pr8As3SeI4
_chemical_formula_sum 'Pr8 As3 Se1 I4'
_space_group_name_H-M_alt 'P 1'
_space_group_IT_number 1
_space_group_name_Hall 'P 1'
_cell_length_a 8.729
_cell_length_b 9.204
_cell_length_c 8.728
_cell_angle_alpha 118.31
_cell_angle_beta 120.00
_cell_angle_gamma 90.00
loop_
_atom_site_label
_atom_site_type_symbol
_atom_site_fract_x
_atom_site_fract_y
_atom_site_fract_z
Pr1 Pr 0.768 0.307 0.537
Pr2 Pr 0.270 0.307 0.039
Pr3 Pr 0.731 0.694 0.463
Pr4 Pr 0.232 0.693 0.961
Pr5 Pr 0.768 0.307 0.039
Pr6 Pr 0.232 0.693 0.463
Pr7 Pr 0.269 0.306 0.537
Pr8 Pr 0.730 0.693 0.961
As1 As 0.500 0.500 0.000
As2 As 0.000 0.500 0.500
As3 As 0.500 0.500 0.500
I1 I 0.000 0.000 0.500
I2 I 0.500 0.000 0.000
I3 I 0.500 0.000 0.500
I4 I 0.000 0.000 0.000
Se1 Se 0.000 0.500 0.000
```

Values from the calculation:
calculated volume	508	Å³ per cell
total energy	-5.19	eV per atom
raw formation energy	-1.326	eV/atom